CdIrNO | OQMD | GGA-PBE | relaxed; E above lowest polymorph = 226 meV/atom
1.0
0.743 2.903 -0.673
-1.039 1.497 5.309
6.179 -1.222 1.553
Cd Ir N O
2 2 2 2
Direct
0.000 0.479 0.280
0.000 0.979 0.720
0.500 0.910 0.230
0.500 0.410 0.770
0.000 0.055 0.353
0.000 0.555 0.647
0.500 0.310 0.049
0.500 0.810 0.951



PmZr | OQMD | GGA-PBE | relaxed; E above lowest polymorph = 2045 meV/atom; energy of formation = 2126 meV per atom
1.0
-0.608 -3.318 -3.100
-3.518 0.216 -2.927
0.761 0.844 -4.438
Pm Zr
1 1
Direct
0.000 0.000 0.000
0.250 0.250 0.250



Zn2Ag | OQMD | GGA-PBE | relaxed; energy of formation = -43 meV per atom
1.0
0.000 3.595 3.595
3.595 0.000 3.595
3.595 3.595 0.000
Ag Zn
2 4
Direct
0.000 0.000 0.000
0.250 0.250 0.250
0.625 0.625 0.125
0.625 0.125 0.625
0.125 0.625 0.625
0.625 0.625 0.625



Y2ErCd3Ir2Pt | OQMD | GGA-PBE | relaxed; energy of formation = -663 meV per atom
1.0
-0.682 3.841 -0.492
-5.714 -0.395 4.828
6.890 1.543 2.504
Cd Er Ir Pt Y
3 1 2 1 2
Direct
0.500 0.740 0.002
0.500 0.258 0.258
0.500 0.002 0.740
0.000 0.594 0.594
0.500 0.665 0.337
0.500 0.337 0.665
0.000 0.996 0.996
0.000 0.000 0.407
0.000 0.407 0.000



NdScNO | OQMD | GGA-PBE | relaxed; E above lowest polymorph = 274 meV/atom
1.0
-1.383 -3.716 -0.711
3.009 -0.622 -2.604
4.755 -2.957 6.202
N Nd O Sc
2 2 2 2
Direct
0.000 0.500 0.393
0.500 0.000 0.607
0.500 0.000 0.137
0.000 0.500 0.863
0.000 0.000 0.000
0.500 0.500 0.000
0.000 0.000 0.500
0.500 0.500 0.500



TePdPbO | OQMD | GGA-PBE | relaxed; E above lowest polymorph = 227 meV/atom
1.0
6.591 0.000 0.000
0.000 11.169 0.000
0.000 0.000 9.631
O Pb Pd Te
8 8 8 8
Direct
0.250 0.191 0.118
0.250 0.691 0.118
0.750 0.191 0.382
0.750 0.691 0.382
0.250 0.309 0.618
0.250 0.809 0.618
0.750 0.309 0.882
0.750 0.809 0.882
0.753 0.140 0.012
0.747 0.640 0.012
0.253 0.140 0.488
0.247 0.640 0.488
0.753 0.360 0.512
0.747 0.860 0.512
0.253 0.360 0.988
0.247 0.860 0.988
0.500 0.197 0.249
0.000 0.697 0.249
0.000 0.197 0.251
0.500 0.697 0.251
0.500 0.303 0.749
0.000 0.803 0.749
0.000 0.303 0.751
0.500 0.803 0.751
0.999 0.446 0.248
0.501 0.946 0.248
0.499 0.446 0.252
0.001 0.946 0.252
0.999 0.054 0.748
0.501 0.554 0.748
0.499 0.054 0.752
0.001 0.554 0.752